1.
VASP calculation (PBE) on a geometry-optimized TiBiIrOs2 structure.

Calculated values
Space group: P4/mmm (123)

Cell lengths 4.9044, 4.8561, 4.9044 Å; angles 90.00, 90.00, 90.00 degrees
Element x y z (fractional)
Ir 0.0000 0.5000 0.0000
Os 0.0000 0.0000 0.5000
Os 0.5000 0.0000 0.0000
Bi 0.0000 0.0000 0.0000
Ti 0.5000 0.5000 0.5000

2.
VASP calculation (PBE) on a geometry-optimized Bi3PIr structure.

Calculated values
Polymorph energy (0 for the lowest one) in eV per formula unit: 0.00
Space group: Pm-3m (221)

Cell lengths 5.3265, 5.3265, 5.3265 Å; angles 90.00, 90.00, 90.00 degrees
Element x y z (fractional)
P 0.5000 0.5000 0.5000
Ir 0.0000 0.0000 0.0000
Bi 0.0000 0.5000 0.0000
Bi 0.0000 0.0000 0.5000
Bi 0.5000 0.0000 0.0000

3.
VASP calculation (PBE) on a geometry-optimized Bi2PIr2 structure.

Calculated values
Polymorph energy (0 for the lowest one) in eV per formula unit: 1.55
Space group: P4/mbm (127)

Cell lengths 8.1870, 8.1870, 3.1601 Å; angles 90.00, 90.00, 90.00 degrees
Element x y z (fractional)
P 0.0000 0.0000 0.0000
P 0.5000 0.5000 0.0000
Ir 0.1252 0.6252 0.5000
Ir 0.6252 0.8748 0.5000
Ir 0.8748 0.3748 0.5000
Ir 0.3748 0.1252 0.5000
Bi 0.3327 0.8327 0.0000
Bi 0.8327 0.6673 0.0000
Bi 0.6673 0.1673 0.0000
Bi 0.1673 0.3327 0.0000

4.
VASP calculation (PBE) on a geometry-optimized Bi3PIr structure.

Calculated values
Polymorph energy (0 for the lowest one) in eV per formula unit: 1.88
Space group: Pm-3m (221)

Cell lengths 5.2331, 5.2331, 5.2331 Å; angles 90.00, 90.00, 90.00 degrees
Element x y z (fractional)
P 0.0000 0.0000 0.0000
Ir 0.5000 0.5000 0.5000
Bi 0.0000 0.5000 0.0000
Bi 0.0000 0.0000 0.5000
Bi 0.5000 0.0000 0.0000

The records above give, respectively, energy values of -6.14; -4.40; -5.40; -4.02 eV/atom.
The records above give, respectively, E_form values of 2480; 787; 780; 1164 meV per atom.